#a
# PmZn3Ni

A relaxed structure of PmZn3Ni (PBE-GGA, Alexandria).

## Properties
Volume in Å³/atom: 19.16
SG: Pm-3m

a b c (Å): 4.5756 4.5756 4.5756
angles (deg): 90.00 90.00 90.00
With the nearest neighbours (Å) after each atom.
Fractional positions:
Pm (0.0000, 0.0000, 0.0000)  12 Zn 3.24
Zn (0.0000, 0.5000, 0.5000)  2 Ni 2.29
Zn (0.5000, 0.0000, 0.5000)  2 Ni 2.29
Zn (0.5000, 0.5000, 0.0000)  2 Ni 2.29
Ni (0.5000, 0.5000, 0.5000)  6 Zn 2.29

=====

#b
# PmZn3Ni

A relaxed structure of PmZn3Ni (PBE-GGA, Alexandria).

## Properties
Volume in Å³/atom: 17.69
SG: Cmcm

a b c (Å): 6.4632 6.4632 5.1610
angles (deg): 90.00 90.00 124.88
With the nearest neighbours (Å) after each atom.
Fractional positions:
Pm (0.1204, 0.8796, 0.7500)  12 Zn 3.03-3.39
Pm (0.8796, 0.1204, 0.2500)  12 Zn 3.03-3.39
Zn (0.1330, 0.3971, 0.7500)  2 Ni 2.43, 1 Zn 2.61
Zn (0.3125, 0.6875, 0.2500)  2 Ni 2.51, 2 Zn 2.61
Zn (0.3971, 0.1330, 0.2500)  2 Ni 2.43, 1 Zn 2.61
Zn (0.6029, 0.8670, 0.7500)  2 Ni 2.43, 1 Zn 2.61
Zn (0.6875, 0.3125, 0.7500)  2 Ni 2.51, 2 Zn 2.61
Zn (0.8670, 0.6029, 0.2500)  2 Ni 2.43, 1 Zn 2.61
Ni (0.5000, 0.5000, 0.0000)  6 Zn 2.43-2.51, 2 Ni 2.58
Ni (0.5000, 0.5000, 0.5000)  6 Zn 2.43-2.51, 2 Ni 2.58

=====

It is #a that is the least stable of them.

=====

#a
# Pm12ZnNi6

A relaxed structure of Pm12ZnNi6 (PBE-GGA, Alexandria).

## Properties
Volume in Å³/atom: 25.75
SG: Im-3

a b c (Å): 8.5978 8.5978 8.5978
angles (deg): 109.47 109.47 109.47
With the nearest neighbours (Å) after each atom.
Fractional positions:
Pm (0.1183, 0.3039, 0.8143)  3 Ni 2.72-2.94
Pm (0.1857, 0.4896, 0.3039)  3 Ni 2.72-2.94
Pm (0.1857, 0.8817, 0.6961)  3 Ni 2.72-2.94
Pm (0.3039, 0.1857, 0.4896)  3 Ni 2.72-2.94
Pm (0.3039, 0.8143, 0.1183)  3 Ni 2.72-2.94
Pm (0.4896, 0.3039, 0.1857)  3 Ni 2.72-2.94
Pm (0.5104, 0.6961, 0.8143)  3 Ni 2.72-2.94
Pm (0.6961, 0.1857, 0.8817)  3 Ni 2.72-2.94
Pm (0.6961, 0.8143, 0.5104)  3 Ni 2.72-2.94
Pm (0.8143, 0.1183, 0.3039)  3 Ni 2.72-2.94
Pm (0.8143, 0.5104, 0.6961)  3 Ni 2.72-2.94
Pm (0.8817, 0.6961, 0.1857)  3 Ni 2.72-2.94
Zn (0.0000, 0.0000, 0.0000)  12 Pm 3.54
Ni (0.1225, 0.5000, 0.6225)  1 Ni 2.43, 2 Pm 2.72
Ni (0.3775, 0.8775, 0.5000)  1 Ni 2.43, 2 Pm 2.72
Ni (0.5000, 0.3775, 0.8775)  1 Ni 2.43, 2 Pm 2.72
Ni (0.5000, 0.6225, 0.1225)  1 Ni 2.43, 2 Pm 2.72
Ni (0.6225, 0.1225, 0.5000)  1 Ni 2.43, 2 Pm 2.72
Ni (0.8775, 0.5000, 0.3775)  1 Ni 2.43, 2 Pm 2.72

=====

#b
# Pm12ZnNi6

A relaxed structure of Pm12ZnNi6 (PBE-GGA, Alexandria).

## Properties
Volume in Å³/atom: 26.63
SG: R-3

a b c (Å): 8.6221 8.6221 8.6221
angles (deg): 108.76 108.76 108.76
With the nearest neighbours (Å) after each atom.
Fractional positions:
Pm (0.0483, 0.3486, 0.1073)  3 Ni 2.75-2.97
Pm (0.1073, 0.0483, 0.3486)  3 Ni 2.75-2.97
Pm (0.1770, 0.4685, 0.6459)  3 Ni 2.73-2.88
Pm (0.3486, 0.1073, 0.0483)  3 Ni 2.75-2.97
Pm (0.3541, 0.8230, 0.5315)  3 Ni 2.73-2.88
Pm (0.4685, 0.6459, 0.1770)  3 Ni 2.73-2.88
Pm (0.5315, 0.3541, 0.8230)  3 Ni 2.73-2.88
Pm (0.6459, 0.1770, 0.4685)  3 Ni 2.73-2.88
Pm (0.6514, 0.8927, 0.9517)  3 Ni 2.75-2.97
Pm (0.8230, 0.5315, 0.3541)  3 Ni 2.73-2.88
Pm (0.8927, 0.9517, 0.6514)  3 Ni 2.75-2.97
Pm (0.9517, 0.6514, 0.8927)  3 Ni 2.75-2.97
Zn (0.5000, 0.5000, 0.5000)  12 Pm 3.38-3.71
Ni (0.1432, 0.7845, 0.7147)  6 Pm 2.73-2.97
Ni (0.2155, 0.2853, 0.8568)  6 Pm 2.73-2.97
Ni (0.2853, 0.8568, 0.2155)  6 Pm 2.73-2.97
Ni (0.7147, 0.1432, 0.7845)  6 Pm 2.73-2.97
Ni (0.7845, 0.7147, 0.1432)  6 Pm 2.73-2.97
Ni (0.8568, 0.2155, 0.2853)  6 Pm 2.73-2.97

=====

It is #b that is the least stable of them.